Record 1
This record from the Alexandria database describes a relaxed TiCdGa2Hg crystal. The functional is GGA-PBE.

Computed properties:
**DFT total energy**: -10.64 eV/cell
**Energy of formation from the pure elements**: 4.53 eV per formula unit
**Total magnetic moment**: 0.0 Bohr magnetons per cell
**DOS(E_F)**: 1.079 states/eV/atom

Geometry as CIF:
```
data_TiCdGa2Hg
_symmetry_space_group_name_H-M 'P 4/m m m'
_symmetry_Int_Tables_number 123
_symmetry_space_group_name_Hall '-P 4 2'
_cell_length_a 4.973
_cell_length_b 4.973
_cell_length_c 5.343
_cell_angle_alpha 90.00
_cell_angle_beta 90.00
_cell_angle_gamma 90.00
loop_
_atom_site_label
_atom_site_type_symbol
_atom_site_fract_x
_atom_site_fract_y
_atom_site_fract_z
_atom_site_occupancy
Ti1 Ti 0.000 0.000 0.000 1
Cd1 Cd 0.500 0.500 0.500 1
Ga1 Ga 0.000 0.500 0.500 1
Hg1 Hg 0.500 0.500 0.000 1
```

Record 2
This record from the Alexandria database describes a relaxed ZrSiAg2 crystal. The functional is GGA-PBE.

Computed properties:
**Raw formation energy**: -80 meV/atom
**DFT total energy**: -19.99 eV/cell
**Total magnetic moment**: 0.0 Bohr magnetons per cell
**DOS(E_F)**: 0.464 states/eV/atom

Geometry as CIF:
```
data_ZrSiAg2
_symmetry_space_group_name_H-M 'P 1 2/m 1'
_symmetry_Int_Tables_number 10
_symmetry_space_group_name_Hall '-P 2y'
_cell_length_a 3.001
_cell_length_b 4.641
_cell_length_c 5.295
_cell_angle_alpha 90.00
_cell_angle_beta 98.88
_cell_angle_gamma 90.00
loop_
_atom_site_label
_atom_site_type_symbol
_atom_site_fract_x
_atom_site_fract_y
_atom_site_fract_z
_atom_site_occupancy
Zr1 Zr 0.000 0.000 0.000 1
Si1 Si 0.500 0.000 0.500 1
Ag1 Ag 0.383 0.500 0.740 1
```

Record 3
This record from the Alexandria database describes a relaxed Sr2ZnI crystal. The functional is GGA-PBE.

Computed properties:
**Raw formation energy**: -428 meV/atom
**DFT total energy**: -31.61 eV/cell
**Total magnetic moment**: 6.0 Bohr magnetons per cell
**DOS(E_F)**: 1.166 states/eV/atom

Geometry as CIF:
```
data_Sr2ZnI
_symmetry_space_group_name_H-M 'F m -3 m'
_symmetry_Int_Tables_number 225
_symmetry_space_group_name_Hall '-F 4 2 3'
_cell_length_a 8.283
_cell_length_b 8.283
_cell_length_c 8.283
_cell_angle_alpha 90.00
_cell_angle_beta 90.00
_cell_angle_gamma 90.00
loop_
_atom_site_label
_atom_site_type_symbol
_atom_site_fract_x
_atom_site_fract_y
_atom_site_fract_z
_atom_site_occupancy
Sr1 Sr 0.250 0.250 0.250 1
Zn1 Zn 0.000 0.000 0.000 1
I1 I 0.000 0.000 0.500 1
```

Record 4
This record from the Alexandria database describes a relaxed La4CuPdI2 crystal. The functional is GGA-PBE.

Computed properties:
**Raw formation energy**: -744 meV/atom
**DFT total energy**: -38.05 eV/cell
**Total magnetic moment**: 0.0 Bohr magnetons per cell
**DOS(E_F)**: 1.164 states/eV/atom

Geometry as CIF:
```
data_La4CuPdI2
_symmetry_space_group_name_H-M 'P 1 2/m 1'
_symmetry_Int_Tables_number 10
_symmetry_space_group_name_Hall '-P 2y'
_cell_length_a 7.386
_cell_length_b 4.400
_cell_length_c 8.438
_cell_angle_alpha 90.00
_cell_angle_beta 107.12
_cell_angle_gamma 90.00
loop_
_atom_site_label
_atom_site_type_symbol
_atom_site_fract_x
_atom_site_fract_y
_atom_site_fract_z
_atom_site_occupancy
La1 La 0.240 0.000 0.198 1
La2 La 0.260 0.500 0.802 1
Cu1 Cu 0.000 0.500 0.000 1
Pd1 Pd 0.500 0.000 0.000 1
I1 I 0.000 0.000 0.500 1
I2 I 0.500 0.500 0.500 1
```